[1]
Density functional theory data (GGA-PBEsol) for a relaxed structure of CrIn2P.

VASP energy, eV per atom: -5.087
Formation enthalpy at 0 K, eV/atom: 0.41
N(E_F), states/eV/cell: 3.9

Cell lengths 4.047, 4.047, 8.928 Å; angles 90.00, 90.00, 90.00 degrees
Space group I4/mmm (No. 139)
Unique sites:
Cr 0.000 0.000 0.000 (multiplicity 2)
In 0.000 0.500 0.250 (multiplicity 4)
P 0.000 0.000 0.500 (multiplicity 2)

[2]
Density functional theory data (GGA-PBEsol) for a relaxed structure of InAuI2N.

ΔE to the lowest computed polymorph, meV per atom: 0.0
Formation energy without anion corrections, eV per atom: 0.53
VASP energy, eV per atom: -3.260
N(E_F), states/eV/cell: 4.0

Cell lengths 6.034, 6.034, 3.765 Å; angles 90.00, 90.00, 90.00 degrees
Space group P4/mmm (No. 123)
Unique sites:
In 0.000 0.000 0.000 (multiplicity 1)
Au 0.500 0.500 0.500 (multiplicity 1)
I 0.000 0.500 0.500 (multiplicity 2)
N 0.500 0.500 0.000 (multiplicity 1)

[3]
Density functional theory data (GGA-PBEsol) for a relaxed structure of SnP2O7.

ΔE to the lowest computed polymorph, meV per atom: 1.3
Formation energy without anion corrections, eV per atom: -2.06
VASP energy, eV per atom: -7.323
N(E_F), states/eV/cell: 0.0

Cell lengths 8.720, 5.075, 13.700 Å; angles 90.00, 114.53, 90.00 degrees
Space group P2_1/c (No. 14)
Unique sites:
Sn 0.237 0.246 0.479 (multiplicity 4)
P 0.179 0.742 0.120 (multiplicity 4)
P 0.340 0.747 0.364 (multiplicity 4)
O 0.009 0.664 0.614 (multiplicity 4)
O 0.172 0.047 0.587 (multiplicity 4)
O 0.215 0.571 0.882 (multiplicity 4)
O 0.256 0.586 0.562 (multiplicity 4)
O 0.310 0.731 0.741 (multiplicity 4)
O 0.313 0.043 0.881 (multiplicity 4)
O 0.479 0.158 0.577 (multiplicity 4)

[4]
Density functional theory data (GGA-PBEsol) for a relaxed structure of Li3IrW.

VASP energy, eV per atom: -3.630
Formation enthalpy at 0 K, eV/atom: 2.28
N(E_F), states/eV/cell: 5.7

Cell lengths 4.479, 4.479, 4.479 Å; angles 90.00, 90.00, 90.00 degrees
Space group Pm-3m (No. 221)
Unique sites:
Li 0.000 0.000 0.500 (multiplicity 3)
Ir 0.500 0.500 0.500 (multiplicity 1)
W 0.000 0.000 0.000 (multiplicity 1)